No. 1
# Tm2Lu2In5Ni2

An optimized crystal structure of Tm2Lu2In5Ni2 (GGA-PBE, the Open Quantum Materials Database).

The calculation puts the distance to the lowest polymorph of the same formula at 0.00 eV per formula unit. The volume is 22.72 Å³/atom.

The space group is P2/m (No. 10) and the conventional cell measures 7.6441, 3.4988 and 9.3742 Å, with angles of 90.00, 94.67 and 90.00 degrees. The inequivalent atoms are Tm at (0.1821, 0.0000, 0.3425), Lu at (0.2071, 0.0000, 0.9382), In at (0.1609, 0.5000, 0.6449), In at (0.4546, 0.5000, 0.1680), In at (0.5000, 0.5000, 0.5000) and Ni at (0.0714, 0.5000, 0.1308).

No. 2
# SrHfPt

An optimized crystal structure of SrHfPt (GGA-PBE, the Open Quantum Materials Database).

The calculation puts the distance to the lowest polymorph of the same formula at 0.00 eV per formula unit. The volume is 26.68 Å³/atom.

The space group is F-43m (No. 216) and the conventional cell measures 6.8407, 6.8407 and 6.8407 Å, with angles of 90.00, 90.00 and 90.00 degrees. The inequivalent atoms are Sr at (0.0000, 0.0000, 0.0000), Hf at (0.0000, 0.0000, 0.5000) and Pt at (0.2500, 0.2500, 0.7500).

No. 3
# RbHo

An optimized crystal structure of RbHo (GGA-PBE, the Open Quantum Materials Database).

The volume is 44.08 Å³/atom. The value obtained for the final energy is -2.09 eV per atom.

The space group is P-6m2 (No. 187) and the conventional cell measures 3.7265, 3.7265 and 7.3305 Å, with angles of 90.00, 90.00 and 120.00 degrees. The inequivalent atoms are Rb at (0.0000, 0.0000, 0.0000) and Ho at (0.3333, 0.6667, 0.5000).

Look up the volume of the third one.
44.08 Å³/atom

What is the formula in the third record?
RbHo

Copy entry 3 word for word.
# RbHo

An optimized crystal structure of RbHo (GGA-PBE, the Open Quantum Materials Database).

The volume is 44.08 Å³/atom. The value obtained for the final energy is -2.09 eV per atom.

The space group is P-6m2 (No. 187) and the conventional cell measures 3.7265, 3.7265 and 7.3305 Å, with angles of 90.00, 90.00 and 120.00 degrees. The inequivalent atoms are Rb at (0.0000, 0.0000, 0.0000) and Ho at (0.3333, 0.6667, 0.5000).